A plane-wave DFT calculation with PBE-GGA was carried out for CuPd2Au3 after structural relaxation.

Properties
The value obtained for the energy of formation from the pure elements is -0.08 eV/atom. For the spin magnetization, the calculation gives 0.00 μB/f.u.

Cell and atoms, written as CIF:
```
data_CuPd2Au3
_symmetry_space_group_name_H-M 'P 1'
_symmetry_Int_Tables_number 1
_symmetry_space_group_name_Hall 'P 1'
_cell_length_a 4.0748
_cell_length_b 6.3769
_cell_length_c 7.9076
_cell_angle_alpha 90.00
_cell_angle_beta 90.01
_cell_angle_gamma 71.37
loop_
_atom_site_label
_atom_site_type_symbol
_atom_site_fract_x
_atom_site_fract_y
_atom_site_fract_z
Au1 Au 0.4995 0.0000 0.2456
Au2 Au 0.5005 0.0000 0.7544
Au3 Au 0.8315 0.3376 0.7596
Pd1 Pd 0.0000 0.0000 0.0000
Pd2 Pd 0.0000 0.0000 0.5000
Pd3 Pd 0.3330 0.3341 0.5000
Cu1 Cu 0.6653 0.6694 0.0000
Au4 Au 0.8308 0.3376 0.2404
Au5 Au 0.1685 0.6624 0.2404
Cu2 Cu 0.3347 0.3306 0.0000
Pd4 Pd 0.6670 0.6659 0.5000
Au6 Au 0.1692 0.6624 0.7596
```